Al3Cd: relaxed, PBE.

a b c (Å): 5.1707 5.1707 2.8564
angles (deg): 90.00 90.00 90.00
With the nearest neighbours (Å) after each atom.
Atoms (fractional coordinates):
Al  0.0000  0.0000  0.0000  10 Al 2.86-2.95
Al  0.0000  0.5000  0.5000  6 Al 2.86-2.95, 4 Cd 2.95
Al  0.5000  0.0000  0.5000  6 Al 2.86-2.95, 4 Cd 2.95
Cd  0.5000  0.5000  0.0000  2 Cd 2.86, 8 Al 2.95

SG ... P4/mmm, No. 123
Energy of formation from the pure elements ... 165 meV/atom
Total energy ... -2.8711 eV per atom


AlCd: relaxed, PBE.

a b c (Å): 4.9350 4.8318 6.9723
angles (deg): 90.00 90.00 90.00
With the nearest neighbours (Å) after each atom.
Atoms (fractional coordinates):
Al  0.0600  0.2500  0.1578  2 Al 2.78, 5 Cd 2.88-3.03
Al  0.4400  0.7500  0.6578  2 Al 2.78, 5 Cd 2.88-3.03
Al  0.5600  0.2500  0.3422  2 Al 2.78, 5 Cd 2.88-3.03
Al  0.9400  0.7500  0.8422  2 Al 2.78, 5 Cd 2.88-3.03
Cd  0.1205  0.2500  0.6131  6 Al 2.88-3.19, 4 Cd 3.12
Cd  0.3795  0.7500  0.1131  6 Al 2.88-3.19, 4 Cd 3.12
Cd  0.6205  0.2500  0.8869  6 Al 2.88-3.19, 4 Cd 3.12
Cd  0.8795  0.7500  0.3869  6 Al 2.88-3.19, 4 Cd 3.12

SG ... Pnma, No. 62
Energy of formation from the pure elements ... 179 meV/atom
Total energy ... -2.1496 eV per atom


Al5Cd: relaxed, PBE.

a b c (Å): 6.5449 6.5449 4.2054
angles (deg): 90.00 90.00 143.64
With the nearest neighbours (Å) after each atom.
Atoms (fractional coordinates):
Al  0.0000  0.0000  0.0000  4 Cd 2.93, 8 Al 2.96-3.00
Al  0.1726  0.8274  0.5000  10 Al 2.81-3.00, 2 Cd 2.96
Al  0.3271  0.6729  0.0000  10 Al 2.80-2.96, 2 Cd 3.01
Al  0.6729  0.3271  0.0000  10 Al 2.80-2.96, 2 Cd 3.01
Al  0.8274  0.1726  0.5000  10 Al 2.81-3.00, 2 Cd 2.96
Cd  0.5000  0.5000  0.5000  12 Al 2.93-3.01

SG ... Cmmm, No. 65
Energy of formation from the pure elements ... 81 meV/atom
Total energy ... -3.1902 eV per atom